Entry 1:
First-principles (PBE) data for crystalline HgOsRh2 at its relaxed geometry, as listed in Alexandria via LeMat-Bulk.

Values from the calculation:
Crystal system: tetragonal
Total DFT energy (no corrections), eV/atom: -6.44
Calculated density, g cm⁻³: 15.74
Size of the total moment, μB per cell: 0.000
Calculated formation energy, eV/atom: 0.114

a = 2.806 Å, b = 2.806 Å, c = 7.993 Å
α = 90.00°, β = 90.00°, γ = 90.00°
Sites, in units of the cell vectors:
Hg 0.000 0.000 0.000
Os 0.000 0.000 0.500
Rh 0.500 0.500 0.276
Rh 0.500 0.500 0.724

Entry 2:
First-principles (PBE) data for crystalline HgOs2Rh at its relaxed geometry, as listed in Alexandria via LeMat-Bulk.

Values from the calculation:
Crystal system: monoclinic
Total DFT energy (no corrections), eV/atom: -6.88
Calculated density, g cm⁻³: 18.16
Size of the total moment, μB per cell: 0.000
Calculated formation energy, eV/atom: 0.651

a = 4.808 Å, b = 2.792 Å, c = 4.933 Å
α = 90.00°, β = 109.20°, γ = 90.00°
Sites, in units of the cell vectors:
Hg 0.000 0.000 0.000
Os 0.000 0.500 0.500
Os 0.500 0.000 0.500
Rh 0.500 0.500 0.000

Entry 3:
First-principles (PBE) data for crystalline HgOsRh2 at its relaxed geometry, as listed in Alexandria via LeMat-Bulk.

Values from the calculation:
Crystal system: orthorhombic
Total DFT energy (no corrections), eV/atom: -6.15
Calculated density, g cm⁻³: 15.87
Size of the total moment, μB per cell: 0.001
Calculated formation energy, eV/atom: 0.404

a = 4.848 Å, b = 4.848 Å, c = 2.800 Å
α = 90.00°, β = 90.00°, γ = 108.47°
Sites, in units of the cell vectors:
Hg 0.000 0.000 0.000
Os 0.500 0.500 0.000
Rh 0.000 0.500 0.500
Rh 0.500 0.000 0.500

Entry 4:
First-principles (PBE) data for crystalline HgOs2Rh at its relaxed geometry, as listed in Alexandria via LeMat-Bulk.

Values from the calculation:
Crystal system: tetragonal
Total DFT energy (no corrections), eV/atom: -6.82
Calculated density, g cm⁻³: 18.13
Size of the total moment, μB per cell: 0.000
Calculated formation energy, eV/atom: 0.710

a = 5.003 Å, b = 5.003 Å, c = 5.003 Å
α = 134.53°, β = 134.53°, γ = 66.27°
Sites, in units of the cell vectors:
Hg 0.000 0.000 0.000
Os 0.250 0.750 0.500
Os 0.750 0.250 0.500
Rh 0.500 0.500 0.000

Entry 5:
First-principles (PBE) data for crystalline HgOsRh2 at its relaxed geometry, as listed in Alexandria via LeMat-Bulk.

Values from the calculation:
Crystal system: tetragonal
Total DFT energy (no corrections), eV/atom: -6.00
Calculated density, g cm⁻³: 15.77
Size of the total moment, μB per cell: 0.838
Calculated formation energy, eV/atom: 0.558

a = 4.031 Å, b = 4.031 Å, c = 3.867 Å
α = 90.00°, β = 90.00°, γ = 90.00°
Sites, in units of the cell vectors:
Hg 0.000 0.000 0.000
Os 0.500 0.500 0.000
Rh 0.000 0.500 0.500
Rh 0.500 0.000 0.500

Entry 6:
First-principles (PBE) data for crystalline HgOsRh2 at its relaxed geometry, as listed in Alexandria via LeMat-Bulk.

Values from the calculation:
Crystal system: tetragonal
Total DFT energy (no corrections), eV/atom: -6.13
Calculated density, g cm⁻³: 15.92
Size of the total moment, μB per cell: 0.002
Calculated formation energy, eV/atom: 0.428

a = 4.834 Å, b = 4.834 Å, c = 4.834 Å
α = 131.39°, β = 131.39°, γ = 71.20°
Sites, in units of the cell vectors:
Hg 0.000 0.000 0.000
Os 0.500 0.500 0.000
Rh 0.250 0.750 0.500
Rh 0.750 0.250 0.500

Entry 7:
First-principles (PBE) data for crystalline HgOs2Rh at its relaxed geometry, as listed in Alexandria via LeMat-Bulk.

Values from the calculation:
Crystal system: monoclinic
Total DFT energy (no corrections), eV/atom: -6.98
Calculated density, g cm⁻³: 17.97
Size of the total moment, μB per cell: 0.000
Calculated formation energy, eV/atom: 0.547

a = 4.809 Å, b = 4.809 Å, c = 4.991 Å
α = 99.00°, β = 99.00°, γ = 33.70°
Sites, in units of the cell vectors:
Hg 0.000 0.000 0.000
Os 0.240 0.240 0.691
Os 0.500 0.500 0.509
Rh 0.757 0.757 0.240

Entry 8:
First-principles (PBE) data for crystalline HgOs2Rh at its relaxed geometry, as listed in Alexandria via LeMat-Bulk.

Values from the calculation:
Crystal system: tetragonal
Total DFT energy (no corrections), eV/atom: -6.34
Calculated density, g cm⁻³: 15.91
Size of the total moment, μB per cell: 0.000
Calculated formation energy, eV/atom: 1.190

a = 5.859 Å, b = 5.859 Å, c = 5.859 Å
α = 101.17°, β = 101.17°, γ = 127.77°
Sites, in units of the cell vectors:
Hg 0.000 0.000 0.000
Hg 0.750 0.250 0.500
Os 0.172 0.125 0.547
Os 0.375 0.828 0.953
Os 0.578 0.625 0.453
Os 0.875 0.422 0.047
Rh 0.250 0.750 0.500
Rh 0.500 0.500 0.000